1.
{"formula": "Zr2PdAu3", "functional": "GGA-PBE", "state": "optimized geometry", "dft_energy_ev_per_atom": -6.019, "total_magnetization_mub_per_atom": 0.0019, "delta_e_f_mev_per_atom": -674, "lattice": [[3.5715, 0.0000, 0.0000], [0.0000, 3.5715, 0.0000], [0.0000, 0.0000, 8.8044]], "species": ["Zr", "Zr", "Pd", "Au", "Au", "Au"], "fractional_positions": [[0.0000, 0.0000, 0.0000], [0.5000, 0.5000, 0.4896], [0.0000, 0.0000, 0.3317], [0.0000, 0.0000, 0.6592], [0.5000, 0.5000, 0.1641], [0.5000, 0.5000, 0.8302]]}

2.
{"formula": "Bi5Os3Au", "functional": "GGA-PBE", "state": "optimized geometry", "dft_energy_ev_per_atom": -5.764, "total_magnetization_mub_per_atom": 0.1690, "lattice": [[5.7133, 0.0000, 0.0000], [-2.8566, 4.9479, 0.0000], [0.0000, 0.0000, 8.1356]], "species": ["Bi", "Bi", "Bi", "Bi", "Bi", "Os", "Os", "Os", "Au"], "fractional_positions": [[0.0000, 0.0000, 0.0000], [0.3333, 0.6667, 0.2847], [0.3333, 0.6667, 0.7153], [0.6667, 0.3333, 0.2847], [0.6667, 0.3333, 0.7153], [0.0000, 0.5000, 0.0000], [0.5000, 0.0000, 0.0000], [0.5000, 0.5000, 0.0000], [0.0000, 0.0000, 0.5000]]}

- Number 1 is which compound?
  Zr2PdAu3